Record 1
This record from the Alexandria database describes CoTeN2 at its PBEsol-relaxed geometry. The functional is meta-GGA SCAN.

Output
uncorrected energy = -208.31 eV/cell
D(E_F) = 0.35 states/eV/atom
uncorrected formation energy = 0.93 eV/atom

abc: 3.2911 3.2911 17.6719
angles: 90.00 90.00 120.00
Space group R-3m (No. 166, hexagonal axes)
Unique sites:
1 Co 0.0000 0.0000 0.0000
2 Te 0.0000 0.0000 0.5000
3 N 0.0000 0.0000 0.1013



Record 2
This record from the Alexandria database describes ZrCoTe2N at its PBEsol-relaxed geometry. The functional is meta-GGA SCAN.

Output
uncorrected energy = -131.42 eV/cell
D(E_F) = 0.88 states/eV/atom
uncorrected formation energy = 0.08 eV/atom

abc: 5.1915 5.1915 3.4289
angles: 90.00 90.00 90.00
Space group P4/mmm (No. 123)
Unique sites:
1 Zr 0.0000 0.0000 0.0000
2 Co 0.5000 0.5000 0.5000
3 Te 0.0000 0.5000 0.5000
4 N 0.5000 0.5000 0.0000



Record 3
This record from the Alexandria database describes TiCo3N at its PBEsol-relaxed geometry. The functional is meta-GGA SCAN.

Output
uncorrected energy = -77.95 eV/cell
D(E_F) = 0.74 states/eV/atom
uncorrected formation energy = -0.14 eV/atom

abc: 3.7238 3.7238 3.7238
angles: 90.00 90.00 90.00
Space group Pm-3m (No. 221)
Unique sites:
1 Ti 0.0000 0.0000 0.0000
2 Co 0.0000 0.5000 0.5000
3 N 0.5000 0.5000 0.5000



Record 4
This record from the Alexandria database describes TlCo2N at its PBEsol-relaxed geometry. The functional is meta-GGA SCAN.

Output
uncorrected energy = -441.45 eV/cell
D(E_F) = 1.37 states/eV/atom
uncorrected formation energy = 1.47 eV/atom

abc: 5.8714 5.8714 5.8714
angles: 90.00 90.00 90.00
Space group Fm-3m (No. 225)
Unique sites:
1 Tl 0.0000 0.0000 0.0000
2 Co 0.2500 0.2500 0.2500
3 N 0.0000 0.0000 0.5000



Record 5
This record from the Alexandria database describes V4Co2N at its PBEsol-relaxed geometry. The functional is meta-GGA SCAN.

Output
uncorrected energy = -1886.12 eV/cell
D(E_F) = 0.82 states/eV/atom
uncorrected formation energy = -0.58 eV/atom

abc: 10.6770 10.6770 10.6770
angles: 90.00 90.00 90.00
Space group Fd-3m (No. 227, origin choice 2)
Unique sites:
1 V 0.0000 0.0000 0.0000
2 V 0.0590 0.3750 0.8750
3 Co 0.0413 0.0413 0.2087
4 N 0.0000 0.0000 0.5000



Record 6
This record from the Alexandria database describes Co3WN at its PBEsol-relaxed geometry. The functional is meta-GGA SCAN.

Output
uncorrected energy = -117.52 eV/cell
D(E_F) = 0.46 states/eV/atom
uncorrected formation energy = 2.67 eV/atom

abc: 4.3896 4.3896 4.3896
angles: 90.00 90.00 90.00
Space group Pm-3m (No. 221)
Unique sites:
1 Co 0.0000 0.0000 0.5000
2 W 0.0000 0.0000 0.0000
3 N 0.5000 0.5000 0.5000